Entry 1:
Material: LiSmIn3
Method: DFT, PBE
State: optimized geometry

a b c (Å): 6.8703 6.8703 5.9338
angles (deg): 90.00 90.00 120.00
Last column: nearest neighbours and their distance in Å.
Space group P6_3/mmc (No. 194)
Symmetry-distinct sites (fractional):
Li 0.0000 0.0000 0.0000 (multiplicity 2)  6 In 2.69, 2 Li 2.97
Sm 0.3333 0.6667 0.2500 (multiplicity 2)  12 In 3.43-3.44
In 0.1882 0.3765 0.7500 (multiplicity 6)  2 Li 2.69, 2 In 2.99

Results
Magnetic moment: 0.00 Bohr magnetons per cell
ΔH_f (0 K): -0.271 eV/atom

***

Entry 2:
Material: LiSm12In3
Method: DFT, PBE
State: optimized geometry

a b c (Å): 4.9387 4.9387 19.7795
angles (deg): 90.00 90.00 90.00
Last column: nearest neighbours and their distance in Å.
Space group P4/mmm (No. 123)
Symmetry-distinct sites (fractional):
Li 0.0000 0.0000 0.0000 (multiplicity 1)  12 Sm 3.49-3.52
Sm 0.0000 0.5000 0.1271 (multiplicity 4)  8 Sm 3.45-3.52, 2 In 3.48, 2 Li 3.52
Sm 0.0000 0.5000 0.3748 (multiplicity 4)  4 In 3.48-3.50, 8 Sm 3.49-3.51
Sm 0.5000 0.5000 0.0000 (multiplicity 1)  4 Li 3.49, 8 Sm 3.52
Sm 0.5000 0.5000 0.2487 (multiplicity 2)  8 Sm 3.45-3.51, 4 In 3.49
Sm 0.5000 0.5000 0.5000 (multiplicity 1)  4 In 3.49, 8 Sm 3.50
In 0.0000 0.0000 0.2511 (multiplicity 2)  12 Sm 3.48-3.49
In 0.0000 0.0000 0.5000 (multiplicity 1)  12 Sm 3.49-3.50

Results
Magnetic moment: 0.00 Bohr magnetons per cell
ΔH_f (0 K): -0.159 eV/atom

***

Entry 3:
Material: Li2SmIn4
Method: DFT, PBE
State: optimized geometry

a b c (Å): 5.8809 5.8809 11.5866
angles (deg): 90.00 90.00 90.00
Last column: nearest neighbours and their distance in Å.
Space group I4/mmm (No. 139)
Symmetry-distinct sites (fractional):
Li 0.0000 0.0000 0.1322 (multiplicity 4)  1 Li 3.06, 8 In 3.24-3.32
Sm 0.0000 0.0000 0.5000 (multiplicity 2)  4 In 2.94
In 0.0000 0.5000 0.0000 (multiplicity 4)  2 In 2.90, 2 Sm 2.94
In 0.0000 0.5000 0.2500 (multiplicity 4)  2 In 2.90, 4 Li 3.24

Results
Magnetic moment: 0.00 Bohr magnetons per cell
ΔH_f (0 K): 0.045 eV/atom

***

Entry 4:
Material: LiSm2In8
Method: DFT, PBE
State: optimized geometry

a b c (Å): 4.7149 4.7149 12.3777
angles (deg): 90.00 90.00 90.00
Last column: nearest neighbours and their distance in Å.
Space group P4/mmm (No. 123)
Symmetry-distinct sites (fractional):
Li 0.0000 0.0000 0.0000 (multiplicity 1)  8 In 2.83
Sm 0.0000 0.0000 0.3120 (multiplicity 2)  12 In 3.30-3.33
In 0.0000 0.5000 0.1259 (multiplicity 4)  2 Li 2.83, 1 In 3.12
In 0.0000 0.5000 0.5000 (multiplicity 2)  4 Sm 3.31, 8 In 3.33
In 0.5000 0.5000 0.3099 (multiplicity 2)  8 In 3.28-3.33, 4 Sm 3.33

Results
Magnetic moment: 0.00 Bohr magnetons per cell
ΔH_f (0 K): -0.366 eV/atom

***

Entry 5:
Material: LiSm3In3
Method: DFT, PBE
State: optimized geometry

a b c (Å): 11.4333 4.7283 15.3282
angles (deg): 90.00 109.17 90.00
Last column: nearest neighbours and their distance in Å.
Space group C2/m (No. 12)
Symmetry-distinct sites (fractional):
Li 0.2437 0.0000 0.4008 (multiplicity 4)  4 In 2.73-3.00
Sm 0.0410 0.5000 0.3843 (multiplicity 4)  7 In 3.26-3.54, 4 Li 3.26-3.49
Sm 0.0953 0.5000 0.9187 (multiplicity 4)  7 In 3.21-3.45
Sm 0.2413 0.5000 0.2212 (multiplicity 4)  6 In 3.26-3.41, 2 Li 3.62
In 0.0339 0.0000 0.2366 (multiplicity 4)  1 Li 2.85, 1 In 2.99
In 0.1203 0.0000 0.0727 (multiplicity 4)  2 In 2.92-2.99, 3 Sm 3.21-3.26
In 0.1324 0.0000 0.5526 (multiplicity 4)  3 Li 2.73-3.00, 1 In 2.93

Results
Magnetic moment: 0.00 Bohr magnetons per cell
ΔH_f (0 K): -0.382 eV/atom

***

Entry 6:
Material: Li2Sm3In4
Method: DFT, PBE
State: optimized geometry

a b c (Å): 11.1146 4.9516 9.4093
angles (deg): 90.00 118.06 90.00
Last column: nearest neighbours and their distance in Å.
Space group C2/m (No. 12)
Symmetry-distinct sites (fractional):
Li 0.1078 0.0000 0.2781 (multiplicity 4)  3 In 2.82-2.83
Sm 0.0000 0.5000 0.0000 (multiplicity 2)  8 In 3.31-3.41, 4 Li 3.39, 2 Sm 3.59
Sm 0.1664 0.0000 0.6586 (multiplicity 4)  8 In 3.30-3.66, 4 Li 3.32-3.37, 2 Sm 3.49-3.59
In 0.0470 0.5000 0.3745 (multiplicity 4)  2 Li 2.83, 1 In 3.00
In 0.2335 0.0000 0.0788 (multiplicity 4)  1 Li 2.82, 2 In 3.00

Results
Magnetic moment: 0.00 Bohr magnetons per cell
ΔH_f (0 K): -0.425 eV/atom

***

Entry 7:
Material: LiSm3In4
Method: DFT, PBE
State: optimized geometry

a b c (Å): 3.5556 3.5556 16.3365
angles (deg): 90.00 90.00 90.00
Last column: nearest neighbours and their distance in Å.
Space group P4/mmm (No. 123)
Symmetry-distinct sites (fractional):
Li 0.0000 0.0000 0.0000 (multiplicity 1)  8 In 2.95
Sm 0.0000 0.0000 0.2309 (multiplicity 2)  8 In 3.33-3.36, 4 Sm 3.56
Sm 0.0000 0.0000 0.5000 (multiplicity 1)  8 In 3.35, 4 Sm 3.56
In 0.5000 0.5000 0.0949 (multiplicity 2)  4 Li 2.95, 1 In 3.10
In 0.5000 0.5000 0.3644 (multiplicity 2)  8 Sm 3.33-3.35, 4 In 3.56

Results
Magnetic moment: 0.00 Bohr magnetons per cell
ΔH_f (0 K): -0.444 eV/atom

***

Entry 8:
Material: Li4Sm3In4
Method: DFT, PBE
State: optimized geometry

a b c (Å): 4.8663 7.1408 15.2695
angles (deg): 90.00 90.00 90.00
Last column: nearest neighbours and their distance in Å.
Space group Immm (No. 71)
Symmetry-distinct sites (fractional):
Li 0.0000 0.1872 0.1733 (multiplicity 8)  1 Li 2.67, 4 In 2.76-2.85
Sm 0.0000 0.0000 0.3781 (multiplicity 4)  6 Li 3.40, 6 In 3.40-3.47, 1 Sm 3.72
Sm 0.0000 0.5000 0.5000 (multiplicity 2)  6 In 3.22-3.30
In 0.0000 0.2950 0.0000 (multiplicity 4)  2 Li 2.76, 1 In 2.93
In 0.0000 0.5000 0.2839 (multiplicity 4)  6 Li 2.80-2.85

Results
Relative energy among the computed polymorphs: 0.29 eV per formula unit
Magnetic moment: 0.00 Bohr magnetons per cell
ΔH_f (0 K): -0.313 eV/atom

***

Entry 9:
Material: Li6SmIn6
Method: DFT, PBE
State: optimized geometry

a b c (Å): 5.7328 9.5923 9.7045
angles (deg): 90.00 90.00 90.00
Last column: nearest neighbours and their distance in Å.
Space group Immm (No. 71)
Symmetry-distinct sites (fractional):
Li 0.0000 0.0000 0.2293 (multiplicity 4)  4 Li 2.80, 6 In 2.93-3.06
Li 0.2500 0.2500 0.2500 (multiplicity 8)  4 Li 2.80-2.87, 6 In 2.86-2.96
Sm 0.0000 0.5000 0.5000 (multiplicity 2)  8 In 3.31-3.44, 12 Li 3.63-3.70
In 0.0000 0.1550 0.5000 (multiplicity 4)  6 Li 2.96-3.02, 3 In 2.97-3.19, 1 Sm 3.31
In 0.0000 0.1984 0.0000 (multiplicity 4)  6 Li 2.86-2.93, 2 In 3.19
In 0.0000 0.5000 0.1591 (multiplicity 4)  6 Li 2.93-3.06, 3 In 3.09-3.28

Results
Magnetic moment: 0.00 Bohr magnetons per cell
ΔH_f (0 K): -0.310 eV/atom

***

Entry 10:
Material: Li4SmIn15
Method: DFT, PBE
State: optimized geometry

a b c (Å): 4.5269 4.5269 23.5918
angles (deg): 90.00 90.00 90.00
Last column: nearest neighbours and their distance in Å.
Space group P4/mmm (No. 123)
Symmetry-distinct sites (fractional):
Li 0.0000 0.0000 0.0975 (multiplicity 2)  12 In 3.20-3.28
Li 0.0000 0.0000 0.3010 (multiplicity 2)  12 In 3.15-3.32
Sm 0.0000 0.0000 0.5000 (multiplicity 1)  12 In 3.20-3.37
In 0.0000 0.5000 0.0000 (multiplicity 2)  8 In 3.20-3.24, 4 Li 3.23
In 0.0000 0.5000 0.1980 (multiplicity 4)  8 In 3.20-3.28, 4 Li 3.28-3.32
In 0.0000 0.5000 0.3941 (multiplicity 4)  2 Li 3.15, 8 In 3.20-3.37, 2 Sm 3.37
In 0.5000 0.5000 0.0980 (multiplicity 2)  4 Li 3.20, 8 In 3.24-3.27
In 0.5000 0.5000 0.2985 (multiplicity 2)  8 In 3.20-3.28, 4 Li 3.20
In 0.5000 0.5000 0.5000 (multiplicity 1)  4 Sm 3.20, 8 In 3.37

Results
Magnetic moment: 0.00 Bohr magnetons per cell
ΔH_f (0 K): -0.185 eV/atom

***

Entry 11:
Material: Li2SmIn3
Method: DFT, PBE
State: optimized geometry

a b c (Å): 4.8947 4.8947 13.3707
angles (deg): 90.00 90.00 120.00
Last column: nearest neighbours and their distance in Å.
Space group P6_3/mmc (No. 194)
Symmetry-distinct sites (fractional):
Li 0.3333 0.6667 0.0962 (multiplicity 4)  7 In 2.86-3.10
Sm 0.0000 0.0000 0.2500 (multiplicity 2)  8 In 3.24-3.34, 6 Li 3.50
In 0.0000 0.0000 0.0000 (multiplicity 2)  6 Li 3.10, 6 In 3.33, 2 Sm 3.34
In 0.3333 0.6667 0.6313 (multiplicity 4)  4 Li 2.86-3.04, 1 In 3.17

Results
Magnetic moment: 0.00 Bohr magnetons per cell
ΔH_f (0 K): -0.327 eV/atom

***

Entry 12:
Material: Li4SmIn4
Method: DFT, PBE
State: optimized geometry

a b c (Å): 6.2967 6.2967 9.9132
angles (deg): 90.00 90.00 90.00
Last column: nearest neighbours and their distance in Å.
Space group P4_2/nmc (No. 137, origin choice 2)
Symmetry-distinct sites (fractional):
Li 0.0330 0.2500 0.1771 (multiplicity 8)  3 Li 2.73-2.91, 5 In 2.82-2.91
Sm 0.2500 0.7500 0.2500 (multiplicity 2)  4 In 3.29, 8 Li 3.51
In 0.0157 0.2500 0.4644 (multiplicity 8)  5 Li 2.82-2.91, 1 In 2.95

Results
Magnetic moment: 0.00 Bohr magnetons per cell
ΔH_f (0 K): -0.245 eV/atom

***

> Look up the ΔH_f (0 K) of the twelfth one.

-0.245 eV/atom

***

> What is the ΔH_f (0 K) in the eighth record?

-0.313 eV/atom

***

> What is the ΔH_f (0 K) in the fourth record?

-0.366 eV/atom